Run one
Material: Tb3Sm7Ho
Method: DFT, GGA-PBE
State: optimized geometry

a b c (Å): 5.619 10.027 9.014
angles (deg): 106.08 128.56 89.99
Sites, in units of the cell vectors:
Tb1 0.000 0.500 0.000
Tb2 0.280 0.000 0.780
Tb3 0.720 0.000 0.220
Ho1 0.500 0.500 0.500
Sm1 0.086 0.171 0.086
Sm2 0.914 0.829 0.914
Sm3 0.318 0.639 0.818
Sm4 0.146 0.291 0.646
Sm5 0.682 0.361 0.182
Sm6 0.500 0.000 0.500
Sm7 0.854 0.709 0.354

Calculated values
- total moment (μB/f.u.) = 0.0
- SG = P2/m (10)
- Fermi-level density of states (states/eV per cell) = 15.3

Run two
Material: Tb3Sm7Ho
Method: DFT, GGA-PBE
State: optimized geometry

a b c (Å): 5.876 8.512 8.512
angles (deg): 82.83 110.22 110.22
Site moments in Bohr magnetons follow the coordinates.
Sites, in units of the cell vectors:
Ho1 0.500 0.500 0.500  0.06
Tb1 0.000 0.205 0.795  0.00
Tb2 0.000 0.795 0.205  0.00
Tb3 0.500 0.000 0.000  0.00
Sm1 0.000 0.500 0.500  0.05
Sm2 0.695 0.986 0.402  0.00
Sm3 0.789 0.790 0.790  0.00
Sm4 0.305 0.598 0.014  0.00
Sm5 0.211 0.210 0.210  0.00
Sm6 0.305 0.014 0.598  0.00
Sm7 0.695 0.402 0.986  0.00

Calculated values
- total moment (μB/f.u.) = 0.1
- SG = C2/m (12)
- Fermi-level density of states (states/eV per cell) = 16.0

Of them, run one has the highest stability.